1.
The following is a GGA-PBE calculation of a relaxed PaReClO6 crystal, from Alexandria.

a = 7.890 Å, b = 7.890 Å, c = 7.890 Å
α = 124.39°, β = 118.78°, γ = 87.35°
Positions (direct):
Pa 0.000 0.000 0.000
Pa 0.500 0.000 0.500
Re 0.500 0.000 0.000
Re 0.500 0.500 0.500
Cl 0.228 0.478 0.750
Cl 0.772 0.522 0.250
O 0.195 0.945 0.250
O 0.229 0.327 0.271
O 0.229 0.958 0.901
O 0.440 0.690 0.750
O 0.443 0.042 0.771
O 0.443 0.673 0.401
O 0.557 0.327 0.599
O 0.557 0.958 0.229
O 0.560 0.310 0.250
O 0.771 0.042 0.099
O 0.771 0.673 0.729
O 0.805 0.055 0.750

Calculated values
* formation energy without anion corrections: -1.948 eV per atom
* density: 5.4 g/cm3

---

2.
The following is a GGA-PBE calculation of a relaxed PaRe2ClO8 crystal, from Alexandria.

a = 6.661 Å, b = 6.661 Å, c = 5.710 Å
α = 90.33°, β = 90.33°, γ = 60.07°
Positions (direct):
Pa 0.000 0.000 0.000
Re 0.334 0.334 0.244
Re 0.666 0.666 0.756
Cl 0.000 0.000 0.500
O 0.188 0.188 0.136
O 0.188 0.625 0.133
O 0.336 0.336 0.547
O 0.375 0.812 0.867
O 0.625 0.188 0.133
O 0.664 0.664 0.453
O 0.812 0.375 0.867
O 0.812 0.812 0.864

Calculated values
* formation energy without anion corrections: -1.932 eV per atom
* density: 5.8 g/cm3

---

3.
The following is a GGA-PBE calculation of a relaxed PaS2ClO8 crystal, from Alexandria.

a = 6.061 Å, b = 6.061 Å, c = 5.585 Å
α = 90.00°, β = 90.00°, γ = 120.00°
Positions (direct):
Pa 0.000 0.000 0.000
S 0.333 0.667 0.754
S 0.667 0.333 0.246
Cl 0.000 0.000 0.500
O 0.202 0.403 0.859
O 0.202 0.798 0.859
O 0.333 0.667 0.498
O 0.403 0.202 0.141
O 0.597 0.798 0.859
O 0.667 0.333 0.502
O 0.798 0.202 0.141
O 0.798 0.597 0.141

Calculated values
* formation energy without anion corrections: -1.808 eV per atom
* density: 4.3 g/cm3

---

4.
The following is a GGA-PBE calculation of a relaxed PaSiClO4 crystal, from Alexandria.

a = 6.024 Å, b = 6.024 Å, c = 6.634 Å
α = 103.23°, β = 103.23°, γ = 69.59°
Positions (direct):
Pa 0.245 0.245 0.149
Pa 0.755 0.755 0.851
Si 0.362 0.362 0.731
Si 0.638 0.638 0.269
Cl 0.016 0.016 0.769
Cl 0.984 0.984 0.231
O 0.119 0.489 0.847
O 0.291 0.291 0.478
O 0.467 0.467 0.218
O 0.489 0.119 0.847
O 0.511 0.881 0.153
O 0.533 0.533 0.782
O 0.709 0.709 0.522
O 0.881 0.511 0.153

Calculated values
* formation energy without anion corrections: -2.931 eV per atom
* density: 5.5 g/cm3

---

5.
The following is a GGA-PBE calculation of a relaxed PaSnClO4 crystal, from Alexandria.

a = 6.416 Å, b = 6.416 Å, c = 7.208 Å
α = 105.84°, β = 105.84°, γ = 67.20°
Positions (direct):
Pa 0.239 0.239 0.131
Pa 0.761 0.761 0.869
Sn 0.362 0.362 0.723
Sn 0.638 0.638 0.277
Cl 0.006 0.006 0.782
Cl 0.994 0.994 0.218
O 0.089 0.486 0.851
O 0.290 0.290 0.438
O 0.445 0.445 0.188
O 0.486 0.089 0.851
O 0.514 0.911 0.149
O 0.555 0.555 0.812
O 0.710 0.710 0.562
O 0.911 0.514 0.149

Calculated values
* formation energy without anion corrections: -2.334 eV per atom
* density: 5.8 g/cm3

---

6.
The following is a GGA-PBE calculation of a relaxed PaTaClO4 crystal, from Alexandria.

a = 6.568 Å, b = 6.568 Å, c = 6.849 Å
α = 106.69°, β = 106.69°, γ = 68.24°
Positions (direct):
Pa 0.232 0.232 0.125
Pa 0.768 0.768 0.875
Ta 0.371 0.371 0.757
Ta 0.629 0.629 0.243
Cl 0.000 0.000 0.239
Cl 0.000 0.000 0.761
O 0.087 0.488 0.832
O 0.316 0.316 0.469
O 0.443 0.443 0.150
O 0.488 0.087 0.832
O 0.512 0.913 0.168
O 0.557 0.557 0.850
O 0.684 0.684 0.531
O 0.913 0.512 0.168

Calculated values
* formation energy without anion corrections: -2.846 eV per atom
* density: 6.6 g/cm3

---

7.
The following is a GGA-PBE calculation of a relaxed PaTeCl2O6 crystal, from Alexandria.

a = 5.868 Å, b = 5.860 Å, c = 5.854 Å
α = 60.12°, β = 60.00°, γ = 59.88°
Positions (direct):
Pa 0.000 0.000 0.000
Te 0.500 0.500 0.500
Cl 0.250 0.250 0.250
Cl 0.750 0.750 0.750
O 0.263 0.737 0.737
O 0.264 0.264 0.736
O 0.264 0.736 0.264
O 0.736 0.264 0.736
O 0.736 0.736 0.264
O 0.737 0.263 0.263

Calculated values
* formation energy without anion corrections: -1.200 eV per atom
* density: 6.1 g/cm3

---

8.
The following is a GGA-PBE calculation of a relaxed PaTe2ClO6 crystal, from Alexandria.

a = 8.443 Å, b = 8.443 Å, c = 5.647 Å
α = 104.80°, β = 104.80°, γ = 90.99°
Positions (direct):
Pa 0.169 0.831 0.750
Pa 0.831 0.169 0.250
Te 0.209 0.392 0.864
Te 0.392 0.209 0.364
Te 0.608 0.791 0.636
Te 0.791 0.608 0.136
Cl 0.078 0.922 0.250
Cl 0.922 0.078 0.750
O 0.035 0.311 0.458
O 0.235 0.623 0.924
O 0.311 0.035 0.958
O 0.347 0.392 0.225
O 0.377 0.765 0.576
O 0.392 0.347 0.725
O 0.608 0.653 0.275
O 0.623 0.235 0.424
O 0.653 0.608 0.775
O 0.689 0.965 0.042
O 0.765 0.377 0.076
O 0.965 0.689 0.542

Calculated values
* formation energy without anion corrections: -1.739 eV per atom
* density: 5.5 g/cm3

---

9.
The following is a GGA-PBE calculation of a relaxed PaTeClO4 crystal, from Alexandria.

a = 6.531 Å, b = 6.531 Å, c = 6.788 Å
α = 96.97°, β = 96.97°, γ = 67.11°
Positions (direct):
Pa 0.219 0.219 0.131
Pa 0.781 0.781 0.869
Te 0.357 0.357 0.669
Te 0.643 0.643 0.331
Cl 0.027 0.027 0.781
Cl 0.973 0.973 0.219
O 0.114 0.484 0.837
O 0.220 0.220 0.461
O 0.395 0.395 0.206
O 0.484 0.114 0.837
O 0.516 0.886 0.163
O 0.605 0.605 0.794
O 0.780 0.780 0.539
O 0.886 0.516 0.163

Calculated values
* formation energy without anion corrections: -2.116 eV per atom
* density: 5.8 g/cm3

---

10.
The following is a GGA-PBE calculation of a relaxed PaTe2ClO8 crystal, from Alexandria.

a = 6.432 Å, b = 6.432 Å, c = 6.034 Å
α = 90.00°, β = 90.00°, γ = 120.00°
Positions (direct):
Pa 0.000 0.000 0.000
Te 0.333 0.667 0.726
Te 0.667 0.333 0.274
Cl 0.000 0.000 0.500
O 0.183 0.366 0.857
O 0.183 0.817 0.857
O 0.333 0.667 0.427
O 0.366 0.183 0.143
O 0.634 0.817 0.857
O 0.667 0.333 0.573
O 0.817 0.183 0.143
O 0.817 0.634 0.143

Calculated values
* formation energy without anion corrections: -1.359 eV per atom
* density: 5.0 g/cm3

---

11.
The following is a GGA-PBE calculation of a relaxed Pa2Tl3Cl2O5 crystal, from Alexandria.

a = 13.637 Å, b = 13.637 Å, c = 13.637 Å
α = 161.36°, β = 161.36°, γ = 26.49°
Positions (direct):
Pa 0.082 0.082 0.000
Pa 0.918 0.918 0.000
Tl 0.326 0.326 0.000
Tl 0.500 0.500 0.000
Tl 0.674 0.674 0.000
Cl 0.192 0.192 0.000
Cl 0.808 0.808 0.000
O 0.000 0.000 0.000
O 0.087 0.587 0.500
O 0.413 0.913 0.500
O 0.587 0.087 0.500
O 0.913 0.413 0.500

Calculated values
* formation energy without anion corrections: -2.275 eV per atom
* density: 7.9 g/cm3

---

12.
The following is a GGA-PBE calculation of a relaxed PaTlClO4 crystal, from Alexandria.

a = 6.418 Å, b = 6.418 Å, c = 7.321 Å
α = 103.15°, β = 103.15°, γ = 65.13°
Positions (direct):
Pa 0.227 0.227 0.092
Pa 0.773 0.773 0.908
Tl 0.375 0.375 0.688
Tl 0.625 0.625 0.312
Cl 0.011 0.011 0.771
Cl 0.989 0.989 0.229
O 0.115 0.502 0.884
O 0.259 0.259 0.406
O 0.422 0.422 0.251
O 0.498 0.885 0.116
O 0.502 0.115 0.884
O 0.578 0.578 0.749
O 0.741 0.741 0.594
O 0.885 0.498 0.116

Calculated values
* formation energy without anion corrections: -1.794 eV per atom
* density: 6.7 g/cm3

---

> Which value of density does entry 7 give?

6.1 g/cm3